The following is a PBE-GGA calculation of BaCd6Ga2 after structural relaxation, from the Alexandria database.

The structure belongs to space group P4/mmm (No. 123); the cell edges are 4.6181, 4.6181 and 10.1517 Å and the angles 90.00°, 90.00° and 90.00°. The distinct sites, in fractional coordinates, are Ba at (0.0000, 0.0000, 0.0000), Cd at (0.0000, 0.0000, 0.5000), Cd at (0.0000, 0.5000, 0.2874), Cd at (0.5000, 0.5000, 0.5000) and Ga at (0.5000, 0.5000, 0.1284).

The density of states at the Fermi level is 3.75 states/eV per cell. The calculation puts the calculated formation energy at -196 meV/atom.


The following is a PBE-GGA calculation of Ba2BeAg2 after structural relaxation, from the Alexandria database.

The structure belongs to space group P4/mbm (No. 127); the cell edges are 8.0000, 8.0000 and 4.8186 Å and the angles 90.00°, 90.00° and 90.00°. The distinct sites, in fractional coordinates, are Ba at (0.1812, 0.3188, 0.0000), Be at (0.0000, 0.0000, 0.5000) and Ag at (0.1267, 0.6267, 0.5000).

The density of states at the Fermi level is 7.13 states/eV per cell. The polymorph energy (0 for the lowest one) is 0.0000 eV/atom. The calculation puts the calculated formation energy at 180 meV/atom.


The following is a PBE-GGA calculation of PuTeSe2 after structural relaxation, from the Alexandria database.

The structure belongs to space group R-3m (No. 166, hexagonal axes); the cell edges are 3.8206, 3.8206 and 28.3757 Å and the angles 90.00°, 90.00° and 120.00°. The distinct sites, in fractional coordinates, are Pu at (0.0000, 0.0000, 0.0000), Te at (0.0000, 0.0000, 0.5000) and Se at (0.0000, 0.0000, 0.0982).

The density of states at the Fermi level is 30.30 states/eV per cell. As for the raw formation energy: 111 meV per atom.


The following is a PBE-GGA calculation of ReMo2 after structural relaxation, from the Alexandria database.

The structure belongs to space group Pnma (No. 62); the cell edges are 5.3938, 4.3903 and 7.9627 Å and the angles 90.00°, 90.00° and 90.00°. The distinct sites, in fractional coordinates, are Re at (0.1693, 0.2500, 0.0738), Mo at (0.0087, 0.2500, 0.7508) and Mo at (0.1669, 0.2500, 0.4186).

The density of states at the Fermi level is 9.26 states/eV per cell. The polymorph energy (0 for the lowest one) is 0.0728 eV/atom. The calculation puts the calculated formation energy at 117 meV/atom.


The following is a PBE-GGA calculation of VNiRh3 after structural relaxation, from the Alexandria database.

The structure belongs to space group Pm-3m (No. 221); the cell edges are 4.4388, 4.4388 and 4.4388 Å and the angles 90.00°, 90.00° and 90.00°. The distinct sites, in fractional coordinates, are V at (0.0000, 0.0000, 0.0000), Ni at (0.5000, 0.5000, 0.5000) and Rh at (0.0000, 0.0000, 0.5000).

The density of states at the Fermi level is 9.22 states/eV per cell. The polymorph energy (0 for the lowest one) is 1.1619 eV/atom. The calculation puts the calculated formation energy at 941 meV/atom.


The following is a PBE-GGA calculation of WCl after structural relaxation, from the Alexandria database.

The structure belongs to space group Cmmm (No. 65); the cell edges are 2.7887, 5.3539 and 4.5003 Å and the angles 90.00°, 90.00° and 90.00°. The distinct sites, in fractional coordinates, are W at (0.0000, 0.0000, 0.0000) and Cl at (0.0000, 0.5000, 0.5000).

The density of states at the Fermi level is 3.27 states/eV per cell. The polymorph energy (0 for the lowest one) is 1.2183 eV/atom. As for the raw formation energy: 975 meV per atom.


The following is a PBE-GGA calculation of ZnOs3 after structural relaxation, from the Alexandria database.

The structure belongs to space group Pm-3n (No. 223); the cell edges are 4.8924, 4.8924 and 4.8924 Å and the angles 90.00°, 90.00° and 90.00°. The distinct sites, in fractional coordinates, are Zn at (0.0000, 0.0000, 0.0000) and Os at (0.0000, 0.2500, 0.5000).

The density of states at the Fermi level is 9.70 states/eV per cell. The calculation puts the calculated formation energy at 680 meV/atom.


The following is a PBE-GGA calculation of Pr6Ag2Rh after structural relaxation, from the Alexandria database.

The structure belongs to space group Immm (No. 71); the cell edges are 9.9408, 10.1756 and 10.4601 Å and the angles 90.00°, 90.00° and 90.00°. The distinct sites, in fractional coordinates, are Pr at (0.0000, 0.1663, 0.2489), Pr at (0.1669, 0.5000, 0.2794), Pr at (0.2320, 0.3176, 0.0000), Ag at (0.0000, 0.3537, 0.5000), Ag at (0.1355, 0.0000, 0.0000), Rh at (0.0000, 0.0000, 0.5000) and Rh at (0.0000, 0.5000, 0.0000).

The density of states at the Fermi level is 33.05 states/eV per cell. The polymorph energy (0 for the lowest one) is 0.0034 eV/atom. The calculation puts the calculated formation energy at -207 meV/atom.


The following is a PBE-GGA calculation of MgZn3 after structural relaxation, from the Alexandria database.

The structure belongs to space group Pm-3n (No. 223); the cell edges are 5.1576, 5.1576 and 5.1576 Å and the angles 90.00°, 90.00° and 90.00°. The distinct sites, in fractional coordinates, are Mg at (0.0000, 0.0000, 0.0000) and Zn at (0.0000, 0.2500, 0.5000).

The density of states at the Fermi level is 2.56 states/eV per cell. The calculation puts the calculated formation energy at 28 meV/atom.


The following is a PBE-GGA calculation of CaFeSiRh2 after structural relaxation, from the Alexandria database.

The structure belongs to space group P4/mmm (No. 123); the cell edges are 4.6233, 4.6233 and 4.2789 Å and the angles 90.00°, 90.00° and 90.00°. The distinct sites, in fractional coordinates, are Ca at (0.0000, 0.0000, 0.0000), Fe at (0.5000, 0.5000, 0.5000), Si at (0.5000, 0.5000, 0.0000) and Rh at (0.0000, 0.5000, 0.5000).

The density of states at the Fermi level is 5.31 states/eV per cell. The polymorph energy (0 for the lowest one) is 0.0000 eV/atom. As for the raw formation energy: 223 meV per atom.


The following is a PBE-GGA calculation of NbVCrIr after structural relaxation, from the Alexandria database.

The structure belongs to space group F-43m (No. 216); the cell edges are 6.1562, 6.1562 and 6.1562 Å and the angles 90.00°, 90.00° and 90.00°. The distinct sites, in fractional coordinates, are Nb at (0.0000, 0.0000, 0.0000), V at (0.0000, 0.0000, 0.5000), Cr at (0.2500, 0.2500, 0.7500) and Ir at (0.2500, 0.2500, 0.2500).

The density of states at the Fermi level is 14.71 states/eV per cell. The calculation puts the calculated formation energy at -207 meV/atom.


The following is a PBE-GGA calculation of ScTeIN2 after structural relaxation, from the Alexandria database.

The structure belongs to space group P4/mmm (No. 123); the cell edges are 4.4162, 4.4162 and 6.1204 Å and the angles 90.00°, 90.00° and 90.00°. The distinct sites, in fractional coordinates, are Sc at (0.0000, 0.0000, 0.0000), Te at (0.0000, 0.0000, 0.5000), I at (0.5000, 0.5000, 0.5000) and N at (0.0000, 0.5000, 0.0000).

The density of states at the Fermi level is 2.44 states/eV per cell. The polymorph energy (0 for the lowest one) is 0.0000 eV/atom. As for the raw formation energy: 706 meV per atom.